(1)
A plane-wave DFT calculation with PBE was carried out for a relaxed structure of Ca2PH.

Output
As for the crystal system: tetragonal. As for the relative energy among the computed polymorphs: 0 meV/atom. The calculated total energy comes out at -4.0993 eV/atom. The magnetization is 0.00 μB per cell.

Lattice parameters (Å, degrees): 4.346 4.346 8.049 90.00 90.00 90.00
Sites, in units of the cell vectors:
Ca: 0.250 0.250 0.137
Ca: 0.250 0.750 0.500
Ca: 0.750 0.250 0.500
Ca: 0.750 0.750 0.863
P: 0.250 0.250 0.775
P: 0.750 0.750 0.225
H: 0.250 0.250 0.410
H: 0.750 0.750 0.590


(2)
A plane-wave DFT calculation with PBE was carried out for a relaxed structure of MnCoHRh2.

Output
As for the crystal system: tetragonal. As for the relative energy among the computed polymorphs: 46 meV/atom. The calculated total energy comes out at -6.8644 eV/atom. The magnetization is 5.30 μB per cell.

Lattice parameters (Å, degrees): 3.836 3.836 3.765 90.00 90.00 90.00
Sites, in units of the cell vectors:
Mn: 0.000 0.000 0.000
Co: 0.500 0.500 0.000
H: 0.000 0.000 0.500
Rh: 0.000 0.500 0.500
Rh: 0.500 0.000 0.500